HoNb4 after structural relaxation. Source: Alexandria, functional PBE.

The total energy comes out at -6.9545 eV/atom. The formation energy is 10.08 eV/f.u.

It has space group Pm-3m (No. 221), with a = 4.8385 Å, b = 4.8385 Å, c = 4.8385 Å, α = 90.00°, β = 90.00° and γ = 90.00°. The asymmetric unit holds Ho at (0.0000, 0.0000, 0.0000), Nb at (0.0000, 0.0000, 0.5000) and Nb at (0.5000, 0.5000, 0.5000).



Ho5Nb after structural relaxation. Source: Alexandria, functional PBE.

The total energy comes out at -5.3262 eV/atom. The formation energy is 1.00 eV/f.u.

It has space group Cmmm (No. 65), with a = 4.8178 Å, b = 14.3904 Å, c = 4.8518 Å, α = 90.00°, β = 90.00° and γ = 90.00°. The asymmetric unit holds Ho at (0.0000, 0.0000, 0.0000), Ho at (0.0000, 0.1549, 0.5000), Ho at (0.0000, 0.3424, 0.0000) and Nb at (0.0000, 0.5000, 0.5000).



HoNb5 after structural relaxation. Source: Alexandria, functional PBE.

The total energy comes out at -8.9712 eV/atom. The formation energy is 1.10 eV/f.u.

It has space group Cmmm (No. 65), with a = 4.9619 Å, b = 14.2280 Å, c = 3.3534 Å, α = 90.00°, β = 90.00° and γ = 90.00°. The asymmetric unit holds Ho at (0.0000, 0.0000, 0.0000), Nb at (0.0000, 0.1825, 0.5000), Nb at (0.0000, 0.3343, 0.0000) and Nb at (0.0000, 0.5000, 0.5000).